## YSb (PBE)

Data for a relaxed YSb crystal.

Unit cell a=5.1692 b=5.1692 c=23.7783 alpha=90.00 beta=90.00 gamma=120.00
Last column: nearest neighbours and their distance in Å.
Fractional positions:
Y 0.3333 0.6667 0.1104  4 Sb 3.01-3.08
Y 0.0000 0.0000 0.2239  4 Sb 3.01-3.07
Y 0.0000 0.0000 0.7761  4 Sb 3.01-3.07
Y 0.6667 0.3333 0.4433  4 Sb 3.01-3.08
Y 0.3333 0.6667 0.5567  4 Sb 3.01-3.08
Y 0.6667 0.3333 0.8896  4 Sb 3.01-3.08
Sb 0.6667 0.3333 0.7603  4 Y 3.01-3.08
Sb 0.3333 0.6667 0.4274  4 Y 3.01-3.08
Sb 0.0000 0.0000 0.9054  4 Y 3.01-3.07
Sb 0.6667 0.3333 0.5726  4 Y 3.01-3.08
Sb 0.3333 0.6667 0.2397  4 Y 3.01-3.08
Sb 0.0000 0.0000 0.0946  4 Y 3.01-3.07

Properties
Total moment in μB/f.u.: 0.00
Raw formation energy in meV/atom: -575.5

***

## ZrAs4 (PBE)

Data for a relaxed ZrAs4 crystal.

Unit cell a=9.4843 b=9.4843 c=9.4843 alpha=158.07 beta=158.07 gamma=31.21
Last column: nearest neighbours and their distance in Å.
Fractional positions:
As 0.7500 0.2500 0.5000  4 As 2.55
As 0.4299 0.4299 0.0000  1 As 2.56, 4 Zr 2.86
As 0.2500 0.7500 0.5000  4 As 2.55
As 0.5701 0.5701 0.0000  1 As 2.56, 4 Zr 2.86
Zr 0.0000 0.0000 0.0000  8 As 2.86

Properties
Fermi-level density of states in states/eV/f.u.: 3.2
Calculated formation energy in eV per atom: -0.120
Total moment in μB/f.u.: 0.00